Nd3U5O12: relaxed, GGA-PBE.

Values from the calculation:
Formation energy (no corrections), eV/f.u.: -58.06
Electronic total energy, eV/atom: -9.42
N(E_F), states/eV/atom: 1.24
Symmetry: Ia-3d

Lattice parameters (Å, degrees): 11.9222 11.9222 11.9222 109.47 109.47 109.47
With the nearest neighbours (Å) after each atom.
Element x y z (fractional)
O: 0.6730 0.2158 0.5850  2 U 2.15-2.29
O: 0.1308 0.7158 0.5427  2 U 2.15-2.29
O: 0.3270 0.7842 0.4150  2 U 2.15-2.29
O: 0.0427 0.4119 0.8270  2 U 2.15-2.29
O: 0.0427 0.6308 0.7158  2 U 2.15-2.29
O: 0.5850 0.7158 0.6730  2 U 2.15-2.29
O: 0.0850 0.9119 0.3692  2 U 2.15-2.29
O: 0.2842 0.4150 0.8270  2 U 2.15-2.29
O: 0.4573 0.7842 0.8692  2 U 2.15-2.29
O: 0.3692 0.9573 0.7842  2 U 2.15-2.29
O: 0.9119 0.0850 0.8692  2 U 2.15-2.29
O: 0.5427 0.2158 0.1308  2 U 2.15-2.29
O: 0.9573 0.5881 0.1730  2 U 2.15-2.29
O: 0.7842 0.4573 0.3692  2 U 2.15-2.29
O: 0.2842 0.8692 0.9573  2 U 2.15-2.29
O: 0.6308 0.5881 0.9150  2 U 2.15-2.29
O: 0.6308 0.0427 0.2158  2 U 2.15-2.29
O: 0.6730 0.4573 0.5881  2 U 2.15-2.29
O: 0.2158 0.5427 0.6308  2 U 2.15-2.29
O: 0.9573 0.3692 0.2842  2 U 2.15-2.29
O: 0.4150 0.2842 0.3270  2 U 2.15-2.29
O: 0.9119 0.8270 0.5427  2 U 2.15-2.29
O: 0.8692 0.5850 0.9119  2 U 2.15-2.29
O: 0.2158 0.6730 0.0850  2 U 2.15-2.29
O: 0.5427 0.3270 0.9119  2 U 2.15-2.29
O: 0.7158 0.1308 0.0427  2 U 2.15-2.29
O: 0.8270 0.9150 0.2842  2 U 2.15-2.29
O: 0.7158 0.5850 0.1730  2 U 2.15-2.29
O: 0.9150 0.8270 0.7842  2 U 2.15-2.29
O: 0.3692 0.4119 0.0850  2 U 2.15-2.29
O: 0.1730 0.0881 0.9573  2 U 2.15-2.29
O: 0.9150 0.0881 0.6308  2 U 2.15-2.29
O: 0.5881 0.9573 0.6730  2 U 2.15-2.29
O: 0.3270 0.5427 0.4119  2 U 2.15-2.29
O: 0.5881 0.6308 0.4150  2 U 2.15-2.29
O: 0.8692 0.2842 0.4573  2 U 2.15-2.29
O: 0.1308 0.4150 0.0881  2 U 2.15-2.29
O: 0.7842 0.3270 0.9150  2 U 2.15-2.29
O: 0.4150 0.1308 0.5881  2 U 2.15-2.29
O: 0.4119 0.0427 0.3270  2 U 2.15-2.29
O: 0.4573 0.6730 0.0881  2 U 2.15-2.29
O: 0.5850 0.8692 0.4119  2 U 2.15-2.29
O: 0.0881 0.9150 0.1308  2 U 2.15-2.29
O: 0.0850 0.1730 0.2158  2 U 2.15-2.29
O: 0.0881 0.1730 0.4573  2 U 2.15-2.29
O: 0.1730 0.0850 0.7158  2 U 2.15-2.29
O: 0.8270 0.9119 0.0427  2 U 2.15-2.29
O: 0.4119 0.3692 0.5850  2 U 2.15-2.29
U: 0.0000 0.0000 0.5000  6 O 2.29
U: 0.3750 0.1250 0.7500  4 O 2.15
U: 0.6250 0.7500 0.8750  4 O 2.15
U: 0.2500 0.3750 0.6250  4 O 2.15
U: 0.6250 0.8750 0.2500  4 O 2.15
U: 0.5000 0.0000 0.0000  6 O 2.29
U: 0.3750 0.2500 0.1250  4 O 2.15
U: 0.0000 0.5000 0.5000  6 O 2.29
U: 0.7500 0.1250 0.8750  4 O 2.15
U: 0.7500 0.6250 0.3750  4 O 2.15
U: 0.5000 0.5000 0.5000  6 O 2.29
U: 0.5000 0.5000 0.0000  6 O 2.29
U: 0.0000 0.5000 0.0000  6 O 2.29
U: 0.8750 0.2500 0.6250  4 O 2.15
U: 0.5000 0.0000 0.5000  6 O 2.29
U: 0.8750 0.6250 0.7500  4 O 2.15
U: 0.1250 0.7500 0.3750  4 O 2.15
U: 0.2500 0.8750 0.1250  4 O 2.15
U: 0.1250 0.3750 0.2500  4 O 2.15
U: 0.0000 0.0000 0.0000  6 O 2.29
Nd: 0.8750 0.1250 0.2500  8 O 2.58-2.61
Nd: 0.3750 0.7500 0.6250  8 O 2.58-2.61
Nd: 0.1250 0.2500 0.8750  8 O 2.58-2.61
Nd: 0.8750 0.7500 0.1250  8 O 2.58-2.61
Nd: 0.7500 0.8750 0.6250  8 O 2.58-2.61
Nd: 0.1250 0.8750 0.7500  8 O 2.58-2.61
Nd: 0.6250 0.2500 0.3750  8 O 2.58-2.61
Nd: 0.2500 0.6250 0.8750  8 O 2.58-2.61
Nd: 0.2500 0.1250 0.3750  8 O 2.58-2.61
Nd: 0.7500 0.3750 0.1250  8 O 2.58-2.61
Nd: 0.6250 0.3750 0.7500  8 O 2.58-2.61
Nd: 0.3750 0.6250 0.2500  8 O 2.58-2.61